Entry 1:
{
  "formula": "Y2CrIr",
  "functional": "PBE-GGA",
  "state": "optimized geometry",
  "total_magnetization_mub_per_fu": 2.9,
  "dft_energy_ev_per_atom": -7.995,
  "formation_enthalpy_0k_kj_per_mol_atoms": -13.7,
  "sg": "Imm2",
  "lattice": [[-0.2581, 1.1540, 5.9904], [3.9245, -2.4714, 3.9716], [-0.8010, 3.4177, -4.9960]],
  "species": ["Ir", "Y", "Y", "Cr"],
  "fractional_positions": [[0.2713, 0.7713, 0.5000], [0.7465, 0.2465, 0.5000], [0.0333, 0.0333, 0.0000], [0.4489, 0.4489, 0.0000]]
}

=====

Entry 2:
{
  "formula": "Pm2FeGe2",
  "functional": "PBE-GGA",
  "state": "optimized geometry",
  "total_magnetization_mub_per_fu": 0.0,
  "dft_energy_ev_per_atom": -6.053,
  "formation_enthalpy_0k_kj_per_mol_atoms": -59.2,
  "sg": "C2/m",
  "lattice": [[-2.6995, -3.0813, -1.1456], [2.4245, -3.5475, -4.0691], [1.7265, -6.7531, 6.1983]],
  "species": ["Pm", "Fe", "Ge", "Pm", "Pm", "Fe", "Ge", "Ge", "Pm", "Ge"],
  "fractional_positions": [[0.9208, 0.2661, 0.8923], [0.3461, 0.9305, 0.3773], [0.3674, 0.1332, 0.1319], [0.3306, 0.6693, 0.6694], [0.0792, 0.7339, 0.1077], [0.6539, 0.0695, 0.6227], [0.6326, 0.8668, 0.8681], [0.9066, 0.7560, 0.4308], [0.6694, 0.3307, 0.3306], [0.0934, 0.2440, 0.5692]]
}

=====

Entry 3:
{
  "formula": "SrCaPb2",
  "functional": "PBE-GGA",
  "state": "optimized geometry",
  "total_magnetization_mub_per_fu": 0.0,
  "dft_energy_ev_per_atom": -2.677,
  "formation_enthalpy_0k_kj_per_mol_atoms": 9.5,
  "sg": "Immm",
  "lattice": [[-4.5105, -5.4507, 2.6142], [4.8070, -0.1397, -5.8105], [-1.4998, -0.5762, 7.3694]],
  "species": ["Ca", "Pb", "Sr", "Pb"],
  "fractional_positions": [[0.0000, 0.0000, 0.0000], [0.7569, 0.0000, 0.7569], [0.5000, 0.0000, 0.5000], [0.2431, 0.0000, 0.2431]]
}

=====

Entry 4:
{
  "formula": "Na2MnBr",
  "functional": "PBE-GGA",
  "state": "optimized geometry",
  "formation_energy_uncorrected_mev_per_atom": 49,
  "total_magnetization_mub_per_fu": 4.1,
  "dft_energy_ev_per_atom": -3.321,
  "e_above_lowest_polymorph_mev_per_atom": 0.0,
  "sg": "I-42d",
  "lattice": [[-5.5640, -3.1976, 5.2387], [4.5343, -6.9070, 0.6000], [1.2765, -3.6359, 5.6865]],
  "species": ["Na", "Br", "Mn", "Na", "Na", "Br", "Mn", "Na"],
  "fractional_positions": [[0.0867, 0.6250, 0.2500], [0.0000, 0.0000, 0.0000], [0.5000, 0.5000, 0.0000], [0.8750, 0.9133, 0.7500], [0.6633, 0.1250, 0.2500], [0.7500, 0.2500, 0.5000], [0.2500, 0.7500, 0.5000], [0.3750, 0.3367, 0.7500]]
}

=====

Entry 5:
{
  "formula": "Pu2CoGe4Pt3",
  "functional": "PBE-GGA",
  "state": "optimized geometry",
  "total_magnetization_mub_per_fu": 11.8,
  "dft_energy_ev_per_atom": -7.854,
  "formation_enthalpy_0k_kj_per_mol_atoms": -59.6,
  "sg": "P-4m2",
  "lattice": [[4.2227, 0.0000, 0.0000], [0.0000, 4.2227, 0.0000], [0.0000, 0.0000, 10.3787]],
  "species": ["Pt", "Ge", "Co", "Ge", "Pu", "Ge", "Pt", "Pu", "Ge", "Pt"],
  "fractional_positions": [[0.5000, 0.0000, 0.8644], [0.0000, 0.5000, 0.3742], [0.5000, 0.5000, 0.5000], [0.5000, 0.0000, 0.6258], [0.5000, 0.0000, 0.2557], [0.0000, 0.0000, 0.0000], [0.0000, 0.0000, 0.5000], [0.0000, 0.5000, 0.7443], [0.5000, 0.5000, 0.0000], [0.0000, 0.5000, 0.1356]]
}

=====

Entry 6:
{
  "formula": "Zr2CoTcTe",
  "functional": "PBE-GGA",
  "state": "optimized geometry",
  "formation_energy_uncorrected_mev_per_atom": 471,
  "total_magnetization_mub_per_fu": 0.0,
  "dft_energy_ev_per_atom": -7.071,
  "e_above_lowest_polymorph_mev_per_atom": 0.0,
  "sg": "P4/mmm",
  "lattice": [[-3.7561, -1.7615, -3.0215], [0.5381, -3.9483, 1.6329], [-3.4381, 1.0467, 3.6639]],
  "species": ["Co", "Tc", "Zr", "Te", "Zr"],
  "fractional_positions": [[0.0000, 0.5000, 0.0000], [0.0000, 0.0000, 0.0000], [0.0000, 0.0000, 0.5000], [0.5000, 0.5000, 0.5000], [0.5000, 0.0000, 0.0000]]
}

=====

Entry 7:
{
  "formula": "BIrPt3",
  "functional": "PBE-GGA",
  "state": "optimized geometry",
  "total_magnetization_mub_per_fu": 0.0,
  "dft_energy_ev_per_atom": -6.420,
  "formation_enthalpy_0k_kj_per_mol_atoms": 30.2,
  "e_above_lowest_polymorph_mev_per_atom": 0.0,
  "sg": "Pm-3m",
  "lattice": [[4.1753, 0.0000, 0.0000], [0.0000, 4.1753, 0.0000], [0.0000, 0.0000, 4.1753]],
  "species": ["Pt", "Pt", "Pt", "Ir", "B"],
  "fractional_positions": [[0.5000, 0.0000, 0.0000], [0.0000, 0.5000, 0.0000], [0.0000, 0.0000, 0.5000], [0.5000, 0.5000, 0.5000], [0.0000, 0.0000, 0.0000]]
}

=====

Entry 8:
{
  "formula": "La8Os3I4F",
  "functional": "PBE-GGA",
  "state": "optimized geometry",
  "formation_energy_uncorrected_mev_per_atom": -986,
  "total_magnetization_mub_per_fu": 0.0,
  "dft_energy_ev_per_atom": -6.059,
  "sg": "R-3m",
  "lattice": [[8.4482, 0.0000, 0.0000], [0.0000, 9.5290, 0.7509], [-4.2241, -4.2148, 5.9827]],
  "species": ["I", "Os", "La", "Os", "La", "La", "I", "I", "La", "La", "I", "La", "F", "Os", "La", "La"],
  "fractional_positions": [[0.5000, 0.0000, 0.0000], [0.5000, 0.5000, 0.5000], [0.2345, 0.6841, 0.4690], [0.5000, 0.5000, 0.0000], [0.2701, 0.3104, 0.5403], [0.7157, 0.6839, 0.9498], [0.5000, 0.0000, 0.5000], [0.0000, 0.0000, 0.5000], [0.7655, 0.3159, 0.5310], [0.2843, 0.3161, 0.0502], [0.0000, 0.0000, 0.0000], [0.7299, 0.6896, 0.4597], [0.0000, 0.5000, 0.0000], [0.0000, 0.5000, 0.5000], [0.7659, 0.3161, 0.0502], [0.2341, 0.6839, 0.9498]]
}